[1]
# KCdGa (PBE, optimized geometry)
# Symmetry: F-43m, No. 216
# DFT total energy (eV/atom): -1.493
# Excess energy over the best structure of this formula in the dataset (eV/atom): 0.0000
data_KCdGa
_chemical_formula_sum 'K1 Cd1 Ga1'
_cell_length_a 5.2000
_cell_length_b 5.2000
_cell_length_c 5.2000
_cell_angle_alpha 60.00
_cell_angle_beta 60.00
_cell_angle_gamma 60.00
_symmetry_space_group_name_H-M 'P 1'
_symmetry_Int_Tables_number 1
_symmetry_space_group_name_Hall 'P 1'
loop_
_atom_site_label
_atom_site_fract_x
_atom_site_fract_y
_atom_site_fract_z
Cd1 0.2500 0.2500 0.2500
Ga1 0.0000 0.0000 0.0000
K1 0.7500 0.7500 0.7500



[2]
# UNbRe (PBE, optimized geometry)
# Symmetry: F-43m, No. 216
# DFT total energy (eV/atom): -10.567
# Energy of formation from the pure elements (meV per atom): 704
# Excess energy over the best structure of this formula in the dataset (eV/atom): 0.0000
data_UNbRe
_chemical_formula_sum 'U1 Nb1 Re1'
_cell_length_a 4.4407
_cell_length_b 4.4407
_cell_length_c 4.4407
_cell_angle_alpha 60.00
_cell_angle_beta 60.00
_cell_angle_gamma 60.00
_symmetry_space_group_name_H-M 'P 1'
_symmetry_Int_Tables_number 1
_symmetry_space_group_name_Hall 'P 1'
loop_
_atom_site_label
_atom_site_fract_x
_atom_site_fract_y
_atom_site_fract_z
Nb1 0.0000 0.0000 0.0000
Re1 0.2500 0.2500 0.2500
U1 0.7500 0.7500 0.7500